Compound: La4MnHg
Source: Alexandria via LeMat-Bulk
Functional: GGA-PBE
Structure: optimized geometry

Structure (POSCAR):
```
La4MnHg
1.0
-0.761 -5.411 -3.172
7.635 1.490 -1.680
-0.671 -2.698 7.457
La Mn Hg
8 2 2
Direct
0.890 0.624 0.797
0.044 0.946 0.266
0.610 0.203 0.376
0.456 0.734 0.054
0.544 0.266 0.946
0.390 0.797 0.624
0.956 0.054 0.734
0.110 0.376 0.203
0.250 0.004 0.996
0.750 0.996 0.004
0.750 0.624 0.376
0.250 0.376 0.624
```

Values from the calculation:
Energy of formation, eV/atom: -0.096
N(E_F), states/eV/cell: 14.942
Magnetic moment, Bohr magnetons per cell: 0.99
Energy relative to the lowest polymorph listed for this composition, meV per atom: 0.0
Space group: No. 15

=====

Compound: HoPd9Au2
Source: Alexandria via LeMat-Bulk
Functional: GGA-PBE
Structure: optimized geometry

Structure (POSCAR):
```
HoPd9Au2
1.0
4.046 0.000 0.000
0.000 4.046 0.000
0.000 0.000 12.086
Ho Pd Au
1 9 2
Direct
0.000 0.000 0.000
0.500 0.500 0.000
0.500 0.500 0.335
0.500 0.500 0.665
0.500 0.000 0.172
0.500 0.000 0.500
0.500 0.000 0.828
0.000 0.500 0.172
0.000 0.500 0.500
0.000 0.500 0.828
0.000 0.000 0.338
0.000 0.000 0.662
```

Values from the calculation:
Energy of formation, eV/atom: -0.324
N(E_F), states/eV/cell: 12.566
Magnetic moment, Bohr magnetons per cell: 0.00
Space group: No. 123

=====

Compound: LaY2ScH
Source: Alexandria via LeMat-Bulk
Functional: GGA-PBE
Structure: optimized geometry

Structure (POSCAR):
```
LaY2ScH
1.0
-0.141 4.960 0.469
-0.102 -0.472 4.960
4.930 0.130 0.113
Y Sc H La
2 1 1 1
Direct
0.000 0.500 0.000
0.500 0.000 0.000
0.000 0.000 0.500
0.000 0.000 0.000
0.500 0.500 0.500
```

Values from the calculation:
N(E_F), states/eV/cell: 4.694
Magnetic moment, Bohr magnetons per cell: 0.00
Energy relative to the lowest polymorph listed for this composition, meV per atom: 10.3
Space group: No. 123

=====

Compound: Al2IrAu
Source: Alexandria via LeMat-Bulk
Functional: GGA-PBE
Structure: optimized geometry

Structure (POSCAR):
```
Al2IrAu
1.0
-2.153 1.197 -1.440
2.059 -1.287 -1.499
-4.539 -7.706 0.379
Ir Au Al
1 1 2
Direct
0.500 0.500 0.774
0.000 0.000 0.491
0.000 0.000 0.991
0.500 0.500 0.245
```

Values from the calculation:
Energy of formation, eV/atom: -0.062
N(E_F), states/eV/cell: 2.076
Magnetic moment, Bohr magnetons per cell: 0.00
Space group: No. 35

=====

Compound: Ca6Ga3O
Source: Alexandria via LeMat-Bulk
Functional: GGA-PBE
Structure: optimized geometry

Structure (POSCAR):
```
Ca6Ga3O
1.0
-4.158 5.430 -1.413
-3.186 -0.120 8.915
7.590 5.605 -0.795
Ca Ga O
12 6 2
Direct
0.224 0.704 0.667
0.724 0.667 0.704
0.193 0.427 0.885
0.693 0.885 0.427
0.991 0.078 0.922
0.715 0.264 0.736
0.215 0.736 0.264
0.491 0.922 0.078
0.193 0.115 0.573
0.693 0.573 0.115
0.224 0.333 0.296
0.724 0.296 0.333
0.498 0.987 0.772
0.998 0.772 0.987
0.432 0.405 0.595
0.932 0.595 0.405
0.998 0.013 0.228
0.498 0.228 0.013
0.015 0.223 0.777
0.515 0.777 0.223
```

Values from the calculation:
N(E_F), states/eV/cell: 14.192
Magnetic moment, Bohr magnetons per cell: 0.00
Formation energy without anion corrections, eV/atom: -0.78
Space group: No. 36

=====

Compound: Nd4Zn2N
Source: Alexandria via LeMat-Bulk
Functional: GGA-PBE
Structure: optimized geometry

Structure (POSCAR):
```
Nd4Zn2N
1.0
-3.456 3.646 0.207
-2.675 -2.721 3.274
0.503 3.535 7.209
Zn Nd N
2 4 1
Direct
0.622 0.622 0.756
0.378 0.378 0.244
0.826 0.826 0.347
0.174 0.174 0.653
0.000 0.500 0.000
0.500 0.000 0.000
0.000 0.000 0.000
```

Values from the calculation:
N(E_F), states/eV/cell: 3.729
Magnetic moment, Bohr magnetons per cell: 0.00
Formation energy without anion corrections, eV/atom: -0.50
Energy relative to the lowest polymorph listed for this composition, meV per atom: 0.0
Space group: No. 139

=====

Compound: Zn2FeBIr
Source: Alexandria via LeMat-Bulk
Functional: GGA-PBE
Structure: optimized geometry

Structure (POSCAR):
```
Zn2FeBIr
1.0
-0.021 3.892 1.263
-2.026 1.077 -3.351
-3.546 -0.648 1.936
Zn Ir Fe B
2 1 1 1
Direct
0.000 0.000 0.500
0.500 0.000 0.000
0.000 0.500 0.000
0.500 0.500 0.500
0.000 0.000 0.000
```

Values from the calculation:
Energy of formation, eV/atom: 0.377
N(E_F), states/eV/cell: 4.944
Magnetic moment, Bohr magnetons per cell: 3.12
Space group: No. 123

=====

Compound: Li2ZnCo
Source: Alexandria via LeMat-Bulk
Functional: GGA-PBE
Structure: optimized geometry

Structure (POSCAR):
```
Li2ZnCo
1.0
-1.323 -1.999 -0.751
2.457 -0.462 -0.244
0.210 -3.235 8.240
Co Li Zn
1 2 1
Direct
0.500 0.500 0.750
0.000 0.000 0.986
0.000 0.000 0.514
0.500 0.500 0.250
```

Values from the calculation:
Energy of formation, eV/atom: 0.050
N(E_F), states/eV/cell: 1.583
Magnetic moment, Bohr magnetons per cell: 1.37
Space group: No. 65

=====

Compound: CeTlAgCl6
Source: Alexandria via LeMat-Bulk
Functional: GGA-PBE
Structure: optimized geometry

Structure (POSCAR):
```
CeTlAgCl6
1.0
6.971 0.000 0.000
-3.485 6.037 0.000
0.000 0.000 14.164
Ce Tl Ag Cl
2 2 2 12
Direct
0.667 0.333 0.250
0.333 0.667 0.750
0.000 0.000 0.000
0.000 0.000 0.500
0.333 0.667 0.250
0.667 0.333 0.750
0.645 0.632 0.141
0.987 0.355 0.141
0.355 0.987 0.641
0.013 0.645 0.859
0.368 0.355 0.359
0.987 0.632 0.359
0.632 0.987 0.859
0.645 0.013 0.359
0.013 0.368 0.641
0.368 0.013 0.141
0.632 0.645 0.641
0.355 0.368 0.859
```

Values from the calculation:
Magnetic moment, Bohr magnetons per cell: 0.00
Formation energy without anion corrections, eV/atom: -1.43
Space group: No. 163

=====

Compound: AlAs3Ru
Source: Alexandria via LeMat-Bulk
Functional: GGA-PBE
Structure: optimized geometry

Structure (POSCAR):
```
AlAs3Ru
1.0
-2.468 -2.506 -3.136
2.328 -3.892 1.279
-3.271 -0.879 3.276
Ru As Al
1 3 1
Direct
0.500 0.500 0.500
0.000 0.500 0.000
0.000 0.000 0.500
0.500 0.000 0.000
0.000 0.000 0.000
```

Values from the calculation:
Energy of formation, eV/atom: 1.072
N(E_F), states/eV/cell: 6.202
Magnetic moment, Bohr magnetons per cell: 1.65
Energy relative to the lowest polymorph listed for this composition, meV per atom: 520.1
Space group: No. 221

=====

Compound: CsPu2ZnBr8
Source: Alexandria via LeMat-Bulk
Functional: GGA-PBE
Structure: optimized geometry

Structure (POSCAR):
```
CsPu2ZnBr8
1.0
7.178 0.423 -0.005
0.448 6.954 -0.009
0.007 0.013 9.250
Cs Pu Zn Br
1 2 1 8
Direct
0.000 0.000 0.500
0.500 0.500 0.763
0.500 0.500 0.237
0.000 0.000 0.000
0.152 0.763 0.193
0.644 0.726 0.000
0.848 0.236 0.193
0.848 0.237 0.807
0.356 0.274 0.000
0.152 0.764 0.807
0.616 0.711 0.500
0.384 0.289 0.500
```

Values from the calculation:
N(E_F), states/eV/cell: 28.370
Magnetic moment, Bohr magnetons per cell: 11.00
Formation energy without anion corrections, eV/atom: -1.33
Space group: No. 10

=====

Compound: CdCoW3
Source: Alexandria via LeMat-Bulk
Functional: GGA-PBE
Structure: optimized geometry

Structure (POSCAR):
```
CdCoW3
1.0
-2.684 -1.795 -3.133
3.524 -0.453 -2.760
0.785 -4.101 1.676
Co W Cd
1 3 1
Direct
0.000 0.000 0.000
0.000 0.500 0.000
0.000 0.000 0.500
0.500 0.000 0.000
0.500 0.500 0.500
```

Values from the calculation:
Energy of formation, eV/atom: 1.358
N(E_F), states/eV/cell: 4.988
Magnetic moment, Bohr magnetons per cell: 0.00
Energy relative to the lowest polymorph listed for this composition, meV per atom: 0.0
Space group: No. 221

=====

| no. | theoretical density (g/cm³) | DFT total energy (eV per atom) |
| --- | --- | --- |
| 1 | 7.502 | -4.9590 |
| 2 | 12.730 | -5.1464 |
| 3 | 4.915 | -5.6329 |
| 4 | 11.429 | -4.9680 |
| 5 | 2.643 | -3.3844 |
| 6 | 6.570 | -4.7815 |
| 7 | 9.515 | -4.9326 |
| 8 | 4.369 | -3.0015 |
| 9 | 3.706 | -3.9048 |
| 10 | 5.599 | -4.3210 |
| 11 | 4.785 | -5.0090 |
| 12 | 13.180 | -8.0182 |